[1]
Below is crystalline Cs2BeBi at its relaxed geometry, with properties calculated at the PBE level.

abc: 5.308 5.308 13.207
angles: 78.41 78.41 90.00
Element x y z (fractional)
Cs: 0.609 0.125 0.250
Cs: 0.141 0.625 0.250
Cs: 0.875 0.859 0.750
Cs: 0.375 0.391 0.750
Bi: 0.000 0.000 0.000
Bi: 0.750 0.250 0.500
Be: 0.250 0.750 0.500
Be: 0.500 0.500 0.000

Computed properties:
The value obtained for the energy relative to the elements is 758 meV per atom. The value obtained for the energy relative to the lowest polymorph listed for this composition is 185.4 meV per atom. Its space-group type is No. 122. The total magnetic moment is 0.0 Bohr magnetons per cell. For the density of states at the Fermi level, the calculation gives 3.68 states/eV/cell.

=====

[2]
Below is crystalline Cs2BeBi at its relaxed geometry, with properties calculated at the PBE level.

abc: 6.359 6.359 6.359
angles: 60.00 60.00 60.00
Element x y z (fractional)
Bi: 0.500 0.500 0.500
Cs: 0.250 0.250 0.250
Cs: 0.750 0.750 0.750
Be: 0.000 0.000 0.000

Computed properties:
The value obtained for the energy relative to the elements is 572 meV per atom. The value obtained for the energy relative to the lowest polymorph listed for this composition is 0.0 meV per atom. Its space-group type is No. 225. The total magnetic moment is 1.0 Bohr magnetons per cell. For the density of states at the Fermi level, the calculation gives 2.38 states/eV/cell.